VASP calculation (PBE) on crystalline Cs2AuSe8 at its relaxed geometry.

The crystal system is monoclinic.

Unit cell a=11.133 b=7.257 c=9.539 alpha=90.00 beta=103.99 gamma=90.00
Space group C2/m (No. 12)
One atom of each set of equivalent atoms:
Cs (0.196, 0.000, 0.128) x4
Au (0.000, 0.500, 0.500) x2
Se (0.023, 0.250, 0.702) x8
Se (0.151, 0.500, 0.189) x4
Se (0.154, 0.000, 0.636) x4


VASP calculation (PBE) on crystalline CsSiAuSe3 at its relaxed geometry.

The crystal system is monoclinic.

Unit cell a=13.621 b=7.716 c=8.602 alpha=90.00 beta=106.35 gamma=90.00
Space group C2/m (No. 12)
One atom of each set of equivalent atoms:
Cs (0.195, 0.000, 0.240) x4
Si (0.032, 0.500, 0.259) x4
Au (0.000, 0.282, 0.500) x4
Se (0.063, 0.255, 0.798) x8
Se (0.197, 0.500, 0.300) x4


VASP calculation (PBE) on crystalline CsSiAuSe2 at its relaxed geometry.

The crystal system is tetragonal.

Unit cell a=5.847 b=5.847 c=5.634 alpha=90.00 beta=90.00 gamma=90.00
Space group P4/mmm (No. 123)
One atom of each set of equivalent atoms:
Cs (0.000, 0.000, 0.000) x1
Si (0.500, 0.500, 0.500) x1
Au (0.000, 0.000, 0.500) x1
Se (0.000, 0.500, 0.000) x2


no.,ΔE_f (raw) (meV/atom),VASP energy (eV for the cell shown)
1,-347,-73.4
2,-575,-93.8
3,1469,-9.2